Crystalline Ba4NbCo2MoO12 at its relaxed geometry, computed with PBE+U.

abc: 5.821 5.821 8.133
angles: 90.00 90.00 90.00
Fractional positions:
O 0.500 0.500 0.764
O 0.740 0.260 0.000
O 0.000 0.000 0.760
O 0.500 0.500 0.236
O 0.757 0.243 0.500
O 0.000 0.000 0.240
O 0.757 0.757 0.500
O 0.243 0.243 0.500
O 0.260 0.740 0.000
O 0.260 0.260 0.000
O 0.740 0.740 0.000
O 0.243 0.757 0.500
Ba 0.500 0.000 0.749
Ba 0.000 0.500 0.251
Ba 0.000 0.500 0.749
Ba 0.500 0.000 0.251
Co 0.000 0.000 0.000
Co 0.500 0.500 0.500
Nb 0.000 0.000 0.500
Mo 0.500 0.500 0.000

Results
As for the raw total energy: -139.239 eV/f.u. The calculation puts the spin magnetization at 0.348 μB/atom.